No. 1
Compound: GdPuZnTc
Source: Alexandria via LeMat-Bulk
Functional: PBE
Structure: relaxed

Output
D(E_F) = 10.23 states/eV/cell
magnetic moment = 1.78 μB per cell
total energy = -9.99 eV/atom

Geometry as POSCAR:
```
GdPuZnTc
1.0
4.9268 0.0000 0.0000
2.4634 4.2667 0.0000
2.4634 1.4222 4.0227
Zn Gd Tc Pu
1 1 1 1
Cartesian
7.3902 4.2667 3.0170 Zn
4.9268 2.8445 2.0113 Gd
2.4634 1.4222 1.0057 Tc
0.0000 0.0000 0.0000 Pu
```

=====

No. 2
Compound: GdPuTe2
Source: Alexandria via LeMat-Bulk
Functional: PBE
Structure: relaxed

Output
D(E_F) = 9.83 states/eV/cell
magnetic moment = 13.74 μB per cell
raw formation energy = -1.1200 eV per atom

Geometry as POSCAR:
```
GdPuTe2
1.0
3.8065 0.0000 0.0000
0.0000 5.4010 0.0000
0.0000 0.0000 5.4010
Gd Te Pu
1 2 1
Cartesian
1.9032 2.7005 2.7005 Gd
0.0000 0.0000 2.7005 Te
0.0000 2.7005 0.0000 Te
1.9032 0.0000 0.0000 Pu
```